Compound: MnRhSN2
Source: Alexandria via LeMat-Bulk
Functional: PBEsol
Structure: relaxed

Properties
For the formation energy from raw total energies, the calculation gives 0.617 eV per atom. Its excess energy over the best structure of this formula in the dataset is 0.00 eV per formula unit. The value obtained for the total magnetization is 0.0 μB/f.u.

abc: 3.4954 3.4954 4.8221
angles: 90.00 90.00 90.00
Closest atoms and distances in Å follow each position.
Atoms (fractional coordinates):
S: 0.0000 0.0000 0.5000  2 Mn 2.41, 4 Rh 2.47
Mn: 0.0000 0.0000 0.0000  4 N 1.75
Rh: 0.5000 0.5000 0.5000  4 S 2.47
N: 0.0000 0.5000 0.0000  2 Mn 1.75
N: 0.5000 0.0000 0.0000  2 Mn 1.75